i.
VASP calculation (PBE) on KCaSCl2 after structural relaxation.

Unit cell a=5.4121 b=5.4121 c=5.5139 alpha=90.00 beta=90.00 gamma=90.00
Fractional coordinates of all 5 atoms:
K1 0.0000 0.0000 0.0000
Ca1 0.5000 0.5000 0.5000
S1 0.5000 0.5000 0.0000
Cl1 0.0000 0.5000 0.5000
Cl2 0.5000 0.0000 0.5000

---

ii.
VASP calculation (PBE) on KCaSCl2 after structural relaxation.

Unit cell a=5.4412 b=5.4412 c=5.5865 alpha=90.00 beta=90.00 gamma=90.00
Fractional coordinates of all 5 atoms:
K1 0.0000 0.0000 0.0000
Ca1 0.5000 0.5000 0.5000
S1 0.0000 0.0000 0.5000
Cl1 0.0000 0.5000 0.0000
Cl2 0.5000 0.0000 0.0000

---

Winner for stability: i

---

i.
VASP calculation (PBE) on CaLa2Cl after structural relaxation.

Unit cell a=6.8638 b=6.8638 c=6.8638 alpha=149.53 beta=123.62 gamma=65.45
Fractional coordinates of all 4 atoms:
Ca1 0.0000 0.0000 0.0000
La1 0.3057 0.8057 0.5000
La2 0.5828 0.5828 0.0000
Cl1 0.7987 0.2987 0.5000

---

ii.
VASP calculation (PBE) on CaLa2Cl after structural relaxation.

Unit cell a=3.6755 b=5.7479 c=6.2845 alpha=90.00 beta=90.00 gamma=90.00
Fractional coordinates of all 4 atoms:
Ca1 0.0000 0.0000 0.0000
La1 0.0000 0.5000 0.5000
La2 0.5000 0.0000 0.5000
Cl1 0.5000 0.5000 0.0000

---

iii.
VASP calculation (PBE) on CaLa2Cl after structural relaxation.

Unit cell a=6.8179 b=6.8179 c=6.8179 alpha=139.14 beta=139.14 gamma=59.17
Fractional coordinates of all 4 atoms:
Ca1 0.0000 0.0000 0.0000
La1 0.5000 0.5000 0.0000
La2 0.7500 0.2500 0.5000
Cl1 0.2500 0.7500 0.5000

---

iv.
VASP calculation (PBE) on CaLa2Cl after structural relaxation.

Unit cell a=6.0827 b=6.0827 c=3.7631 alpha=90.00 beta=90.00 gamma=111.53
Fractional coordinates of all 4 atoms:
Ca1 0.0000 0.0000 0.0000
La1 0.0000 0.5000 0.5000
La2 0.5000 0.0000 0.5000
Cl1 0.5000 0.5000 0.0000

---

Winner for stability: i

---

i.
VASP calculation (PBE) on CaLa2Cl after structural relaxation.

Unit cell a=7.2951 b=7.2951 c=7.2951 alpha=101.61 beta=101.61 gamma=126.70
Fractional coordinates of all 8 atoms:
Ca1 0.0000 0.0000 0.0000
Ca2 0.7500 0.2500 0.5000
La1 0.2032 0.6250 0.0782
La2 0.3750 0.4532 0.5782
La3 0.5468 0.1250 0.9218
La4 0.8750 0.7968 0.4218
Cl1 0.2500 0.7500 0.5000
Cl2 0.5000 0.5000 0.0000

---

ii.
VASP calculation (PBE) on CaLa2Cl after structural relaxation.

Unit cell a=7.5628 b=7.5628 c=7.5628 alpha=145.56 beta=145.56 gamma=49.49
Fractional coordinates of all 4 atoms:
Ca1 0.0000 0.0000 0.0000
La1 0.2500 0.7500 0.5000
La2 0.7500 0.2500 0.5000
Cl1 0.5000 0.5000 0.0000

---

iii.
VASP calculation (PBE) on CaLa2Cl after structural relaxation.

Unit cell a=3.6816 b=3.6816 c=11.2393 alpha=90.00 beta=90.00 gamma=116.81
Fractional coordinates of all 4 atoms:
Ca1 0.0000 0.0000 0.0000
La1 0.5000 0.5000 0.2887
La2 0.5000 0.5000 0.7113
Cl1 0.0000 0.0000 0.5000

---

iv.
VASP calculation (PBE) on CaLa2Cl after structural relaxation.

Unit cell a=3.6501 b=3.6438 c=10.1611 alpha=90.00 beta=100.29 gamma=90.00
Fractional coordinates of all 4 atoms:
Ca1 0.0000 0.0000 0.0000
La1 0.2804 0.0000 0.5645
La2 0.6474 0.5000 0.2972
Cl1 0.4153 0.5000 0.8317

---

Winner for stability: iv

---

i.
VASP calculation (PBE) on CaLa2Cl after structural relaxation.

Unit cell a=6.4534 b=6.4534 c=7.0163 alpha=122.14 beta=122.14 gamma=32.87
Fractional coordinates of all 4 atoms:
Ca1 0.0000 0.0000 0.0000
La1 0.1784 0.1784 0.7328
La2 0.3890 0.3890 0.3623
Cl1 0.6468 0.6468 0.3696

---

ii.
VASP calculation (PBE) on CaLa2Cl after structural relaxation.

Unit cell a=5.7981 b=5.7981 c=5.7981 alpha=60.00 beta=60.00 gamma=60.00
Fractional coordinates of all 4 atoms:
Ca1 0.0000 0.0000 0.0000
La1 0.2500 0.2500 0.2500
La2 0.7500 0.7500 0.7500
Cl1 0.5000 0.5000 0.5000

---

Winner for stability: i